# NaCrBrO | Alexandria | PBE+U | relaxed
# - polymorph energy (0 for the lowest one) (meV per atom) = 22.9
# - M_tot (μB/f.u.) = 4.00
data_NaCrBrO
_cell_length_a 3.840
_cell_length_b 4.654
_cell_length_c 4.708
_cell_angle_alpha 89.67
_cell_angle_beta 89.99
_cell_angle_gamma 89.99
_space_group_name_H-M_alt 'P 1'
_space_group_IT_number 1
loop_
_space_group_symop_operation_xyz
'x,y,z'
loop_
_atom_site_label
_atom_site_fract_x
_atom_site_fract_y
_atom_site_fract_z
_atom_site_occupancy
Na1 0.329 0.986 0.354 1
Cr1 0.829 0.485 0.604 1
Br1 0.829 0.983 0.877 1
O1 0.329 0.485 0.497 1